No. 1
Below is Pr4InPbN after structural relaxation, with properties calculated at the GGA-PBE level.

Summary:
Uncorrected formation energy in meV/atom: -692
DFT total energy in eV per atom: -5.533
ρ in g/cm³: 7.2

Cell: 7.0490 16.7514 7.0515 Å, 90.00 90.00 90.00°
Space group Cmcm (No. 63)
Asymmetric unit:
Pr1 0.0000 0.0863 0.2500 (multiplicity 4)
Pr2 0.0000 0.4112 0.2500 (multiplicity 4)
Pr3 0.2500 0.2500 0.0000 (multiplicity 8)
In1 0.0000 0.1117 0.7500 (multiplicity 4)
Pb1 0.0000 0.3922 0.7500 (multiplicity 4)
N1 0.0000 0.2507 0.2500 (multiplicity 4)

---

No. 2
Below is ScInPbN2 after structural relaxation, with properties calculated at the GGA-PBE level.

Summary:
Uncorrected formation energy in meV/atom: 1296
DFT total energy in eV per atom: -4.590
ρ in g/cm³: 6.3

Cell: 4.2618 4.2618 5.6943 Å, 90.00 90.00 90.00°
Space group P4/mmm (No. 123)
Asymmetric unit:
Sc1 0.0000 0.0000 0.0000 (multiplicity 1)
In1 0.5000 0.5000 0.5000 (multiplicity 1)
Pb1 0.5000 0.5000 0.0000 (multiplicity 1)
N1 0.0000 0.5000 0.5000 (multiplicity 2)

---

No. 3
Below is InPbSe2N after structural relaxation, with properties calculated at the GGA-PBE level.

Summary:
Polymorph energy (0 for the lowest one) in meV per atom: 326.7
Uncorrected formation energy in meV/atom: 773
DFT total energy in eV per atom: -3.575
ρ in g/cm³: 5.9

Cell: 5.5848 5.5848 4.4705 Å, 90.00 90.00 90.00°
Space group P4/mmm (No. 123)
Asymmetric unit:
In1 0.0000 0.0000 0.0000 (multiplicity 1)
Pb1 0.5000 0.5000 0.5000 (multiplicity 1)
Se1 0.0000 0.5000 0.5000 (multiplicity 2)
N1 0.5000 0.5000 0.0000 (multiplicity 1)

---

No. 4
Below is InPbSe2N after structural relaxation, with properties calculated at the GGA-PBE level.

Summary:
Polymorph energy (0 for the lowest one) in meV per atom: 0.0
Uncorrected formation energy in meV/atom: 447
DFT total energy in eV per atom: -3.902
ρ in g/cm³: 6.5

Cell: 5.4489 5.4489 4.2328 Å, 90.00 90.00 90.00°
Space group P4/mmm (No. 123)
Asymmetric unit:
In1 0.0000 0.0000 0.0000 (multiplicity 1)
Pb1 0.5000 0.5000 0.5000 (multiplicity 1)
Se1 0.0000 0.5000 0.0000 (multiplicity 2)
N1 0.0000 0.0000 0.5000 (multiplicity 1)

---

Q: ρ of number 3 (InPbSe2N)?
A: 5.9 g/cm³